1.
# AcNdAu2 PBE optimized geometry
data_AcNdAu2
_chemical_formula_sum 'Ac1 Nd1 Au2'
_space_group_name_H-M_alt 'P 4/m m m'
_space_group_IT_number 123
_space_group_name_Hall '-P 4 2'
_cell_length_a 3.813
_cell_length_b 3.813
_cell_length_c 7.618
_cell_angle_alpha 90.00
_cell_angle_beta 90.00
_cell_angle_gamma 90.00
loop_
_atom_site_label
_atom_site_fract_x
_atom_site_fract_y
_atom_site_fract_z
_atom_site_occupancy
Ac1 0.000 0.000 0.000 1
Nd1 0.000 0.000 0.500 1
Au1 0.500 0.500 0.273 1
# Offset from the most stable computed form ... 34 meV per atom
# Size of the total moment ... 0.00 Bohr magnetons per cell
# Fermi-level density of states ... 0.573 states/eV/atom
# Formation energy from the elements ... -0.76 eV per atom

---

2.
# CsAg2Te2 PBE optimized geometry
data_CsAg2Te2
_chemical_formula_sum 'Cs2 Ag4 Te4'
_space_group_name_H-M_alt 'P 4/m b m'
_space_group_IT_number 127
_space_group_name_Hall '-P 4 2ab'
_cell_length_a 9.470
_cell_length_b 9.470
_cell_length_c 3.493
_cell_angle_alpha 90.00
_cell_angle_beta 90.00
_cell_angle_gamma 90.00
loop_
_atom_site_label
_atom_site_fract_x
_atom_site_fract_y
_atom_site_fract_z
_atom_site_occupancy
Cs1 0.000 0.000 0.000 1
Ag1 0.113 0.387 0.500 1
Te1 0.156 0.656 0.000 1
# Offset from the most stable computed form ... 316 meV per atom
# Raw formation energy ... -2.5 kcal/mol of atoms
# Size of the total moment ... 0.00 Bohr magnetons per cell
# Fermi-level density of states ... 0.192 states/eV/atom